Run 1
DFT (PBEsol) results for crystalline CaPbCl2 at its relaxed geometry.

a = 4.765 Å, b = 4.765 Å, c = 4.253 Å
α = 90.00°, β = 90.00°, γ = 90.00°
Space group P4/mmm (No. 123)
Asymmetric unit:
Ca  0.000  0.000  0.000 x1
Pb  0.500  0.500  0.000 x1
Cl  0.000  0.500  0.500 x2

Calculated values
- Crystal system: tetragonal
- DOS at the Fermi energy: 0.470 states/eV/atom



Run 2
DFT (PBEsol) results for crystalline CaPbCl2 at its relaxed geometry.

a = 3.798 Å, b = 3.798 Å, c = 7.172 Å
α = 90.00°, β = 90.00°, γ = 90.00°
Space group P4mm (No. 99)
Asymmetric unit:
Ca  0.000  0.000  0.000 x1
Pb  0.500  0.500  0.649 x1
Cl  0.000  0.000  0.366 x1
Cl  0.500  0.500  0.069 x1

Calculated values
- Crystal system: tetragonal
- DOS at the Fermi energy: 0.277 states/eV/atom



Least stable structure: run 1



Run 1
DFT (PBEsol) results for crystalline CaPdS2Cl at its relaxed geometry.

a = 4.696 Å, b = 4.696 Å, c = 4.722 Å
α = 90.00°, β = 90.00°, γ = 90.00°
Space group P4/mmm (No. 123)
Asymmetric unit:
Ca  0.000  0.000  0.000 x1
Pd  0.500  0.500  0.500 x1
S  0.000  0.500  0.500 x2
Cl  0.500  0.500  0.000 x1

Calculated values
- Crystal system: tetragonal
- DOS at the Fermi energy: 0.707 states/eV/atom



Run 2
DFT (PBEsol) results for crystalline CaPdS2Cl at its relaxed geometry.

a = 5.189 Å, b = 5.189 Å, c = 5.011 Å
α = 90.00°, β = 90.00°, γ = 90.00°
Space group P4/mmm (No. 123)
Asymmetric unit:
Ca  0.000  0.000  0.000 x1
Pd  0.500  0.500  0.500 x1
S  0.000  0.500  0.000 x2
Cl  0.000  0.000  0.500 x1

Calculated values
- Crystal system: tetragonal
- DOS at the Fermi energy: 1.321 states/eV/atom



Least stable structure: run 2



Run 1
DFT (PBEsol) results for crystalline CaPtCl2 at its relaxed geometry.

a = 3.301 Å, b = 3.301 Å, c = 6.925 Å
α = 90.00°, β = 90.00°, γ = 90.00°
Space group P4/mmm (No. 123)
Asymmetric unit:
Ca  0.000  0.000  0.000 x1
Pt  0.000  0.000  0.500 x1
Cl  0.500  0.500  0.225 x2

Calculated values
- Crystal system: tetragonal
- DOS at the Fermi energy: 0.282 states/eV/atom



Run 2
DFT (PBEsol) results for crystalline CaPtCl2 at its relaxed geometry.

a = 6.674 Å, b = 6.674 Å, c = 6.674 Å
α = 90.00°, β = 90.00°, γ = 90.00°
Space group Fm-3m (No. 225)
Asymmetric unit:
Ca  0.000  0.000  0.000 x4
Pt  0.000  0.000  0.500 x4
Cl  0.250  0.250  0.250 x8

Calculated values
- Crystal system: cubic
- DOS at the Fermi energy: 0.667 states/eV/atom



Least stable structure: run 1



Run 1
DFT (PBEsol) results for crystalline CaReCl2 at its relaxed geometry.

a = 3.537 Å, b = 4.784 Å, c = 10.569 Å
α = 90.00°, β = 90.00°, γ = 90.00°
Space group Immm (No. 71)
Asymmetric unit:
Ca  0.000  0.000  0.000 x2
Re  0.000  0.000  0.500 x2
Cl  0.000  0.500  0.153 x4

Calculated values
- Crystal system: orthorhombic
- DOS at the Fermi energy: 0.449 states/eV/atom



Run 2
DFT (PBEsol) results for crystalline CaReCl2 at its relaxed geometry.

a = 3.699 Å, b = 3.699 Å, c = 11.590 Å
α = 90.00°, β = 90.00°, γ = 90.00°
Space group I-4m2 (No. 119)
Asymmetric unit:
Ca  0.000  0.000  0.000 x2
Re  0.000  0.500  0.750 x2
Cl  0.000  0.000  0.500 x2
Cl  0.000  0.500  0.250 x2

Calculated values
- Crystal system: tetragonal
- DOS at the Fermi energy: 0.643 states/eV/atom



Least stable structure: run 2



Run 1
DFT (PBEsol) results for crystalline CaRh2Cl at its relaxed geometry.

a = 7.359 Å, b = 3.587 Å, c = 6.676 Å
α = 90.00°, β = 108.65°, γ = 90.00°
Space group Cm (No. 8)
Asymmetric unit:
Ca  0.000  0.000  0.000 x2
Rh  0.227  0.500  0.407 x2
Rh  0.390  0.000  0.300 x2
Cl  0.238  0.000  0.740 x2

Calculated values
- Crystal system: monoclinic
- DOS at the Fermi energy: 1.116 states/eV/atom



Run 2
DFT (PBEsol) results for crystalline CaRh2Cl at its relaxed geometry.

a = 3.330 Å, b = 3.330 Å, c = 7.033 Å
α = 90.00°, β = 90.00°, γ = 90.00°
Space group P4mm (No. 99)
Asymmetric unit:
Ca  0.000  0.000  0.000 x1
Rh  0.000  0.000  0.587 x1
Rh  0.500  0.500  0.705 x1
Cl  0.500  0.500  0.207 x1

Calculated values
- Crystal system: tetragonal
- DOS at the Fermi energy: 0.959 states/eV/atom



Least stable structure: run 1



Run 1
DFT (PBEsol) results for crystalline CaSbCl2 at its relaxed geometry.

a = 4.679 Å, b = 4.679 Å, c = 4.274 Å
α = 90.00°, β = 90.00°, γ = 90.00°
Space group P4/mmm (No. 123)
Asymmetric unit:
Ca  0.000  0.000  0.000 x1
Sb  0.500  0.500  0.000 x1
Cl  0.000  0.500  0.500 x2

Calculated values
- Crystal system: tetragonal
- DOS at the Fermi energy: 0.615 states/eV/atom



Run 2
DFT (PBEsol) results for crystalline CaSbCl2 at its relaxed geometry.

a = 3.6212 Å, b = 3.6212 Å, c = 33.3079 Å
α = 90.00°, β = 90.00°, γ = 120.00°
Space group R-3m (No. 166, hexagonal axes)
Asymmetric unit:
Ca  0.0000  0.0000  0.0000 x3
Sb  0.0000  0.0000  0.5000 x3
Cl  0.0000  0.0000  0.2848 x6

Calculated values
- Crystal system: trigonal
- DOS at the Fermi energy: 0.343 states/eV/atom



Least stable structure: run 1



Run 1
DFT (PBEsol) results for crystalline Ca2ScCl at its relaxed geometry.

a = 12.079 Å, b = 3.470 Å, c = 6.041 Å
α = 90.00°, β = 116.35°, γ = 90.00°
Space group Cm (No. 8)
Asymmetric unit:
Ca  0.000  0.000  0.000 x2
Ca  0.187  0.000  0.662 x2
Sc  0.288  0.500  0.244 x2
Cl  0.427  0.000  0.588 x2

Calculated values
- Crystal system: monoclinic
- DOS at the Fermi energy: 1.331 states/eV/atom



Run 2
DFT (PBEsol) results for crystalline Ca2ScCl at its relaxed geometry.

a = 3.499 Å, b = 6.408 Å, c = 10.660 Å
α = 90.00°, β = 90.00°, γ = 90.00°
Space group Immm (No. 71)
Asymmetric unit:
Ca  0.000  0.000  0.203 x4
Sc  0.000  0.500  0.000 x2
Cl  0.000  0.500  0.500 x2

Calculated values
- Crystal system: orthorhombic
- DOS at the Fermi energy: 1.394 states/eV/atom



Run 3
DFT (PBEsol) results for crystalline Ca2ScCl at its relaxed geometry.

a = 3.584 Å, b = 5.808 Å, c = 5.916 Å
α = 90.00°, β = 90.09°, γ = 90.00°
Space group Pm (No. 6)
Asymmetric unit:
Ca  0.000  0.000  0.000 x1
Ca  0.012  0.500  0.612 x1
Sc  0.506  0.000  0.506 x1
Cl  0.511  0.500  0.262 x1

Calculated values
- Crystal system: monoclinic
- DOS at the Fermi energy: 1.115 states/eV/atom



Least stable structure: run 3



Run 1
DFT (PBEsol) results for crystalline CaScCl2 at its relaxed geometry.

a = 4.707 Å, b = 4.707 Å, c = 3.306 Å
α = 90.00°, β = 90.00°, γ = 90.00°
Space group P4/mmm (No. 123)
Asymmetric unit:
Ca  0.000  0.000  0.000 x1
Sc  0.500  0.500  0.000 x1
Cl  0.000  0.500  0.500 x2

Calculated values
- Crystal system: tetragonal
- DOS at the Fermi energy: 0.841 states/eV/atom



Run 2
DFT (PBEsol) results for crystalline CaScCl2 at its relaxed geometry.

a = 8.072 Å, b = 3.441 Å, c = 6.007 Å
α = 90.00°, β = 104.65°, γ = 90.00°
Space group C2/m (No. 12)
Asymmetric unit:
Ca  0.000  0.000  0.000 x2
Sc  0.000  0.500  0.500 x2
Cl  0.241  0.000  0.726 x4

Calculated values
- Crystal system: monoclinic
- DOS at the Fermi energy: 0.816 states/eV/atom



Least stable structure: run 1



Run 1
DFT (PBEsol) results for crystalline CaSiCl2 at its relaxed geometry.

a = 7.557 Å, b = 7.557 Å, c = 6.465 Å
α = 90.00°, β = 90.00°, γ = 90.00°
Space group I-42d (No. 122)
Asymmetric unit:
Ca  0.000  0.000  0.000 x4
Si  0.000  0.000  0.500 x4
Cl  0.247  0.250  0.125 x8

Calculated values
- Crystal system: tetragonal
- DOS at the Fermi energy: 0.307 states/eV/atom



Run 2
DFT (PBEsol) results for crystalline CaSiCl2 at its relaxed geometry.

a = 5.434 Å, b = 5.434 Å, c = 6.504 Å
α = 90.00°, β = 90.00°, γ = 90.00°
Space group I4/mmm (No. 139)
Asymmetric unit:
Ca  0.000  0.000  0.000 x2
Si  0.000  0.000  0.500 x2
Cl  0.000  0.500  0.000 x4

Calculated values
- Crystal system: tetragonal
- DOS at the Fermi energy: 0.250 states/eV/atom



Run 3
DFT (PBEsol) results for crystalline CaSiCl2 at its relaxed geometry.

a = 3.6144 Å, b = 3.6144 Å, c = 31.4399 Å
α = 90.00°, β = 90.00°, γ = 120.00°
Space group R-3m (No. 166, hexagonal axes)
Asymmetric unit:
Ca  0.0000  0.0000  0.0000 x3
Si  0.0000  0.0000  0.5000 x3
Cl  0.0000  0.0000  0.2817 x6

Calculated values
- Crystal system: trigonal
- DOS at the Fermi energy: 0.376 states/eV/atom



Least stable structure: run 1



Run 1
DFT (PBEsol) results for crystalline CaTaCl2 at its relaxed geometry.

a = 3.650 Å, b = 3.650 Å, c = 12.644 Å
α = 90.00°, β = 90.00°, γ = 90.00°
Space group I-4m2 (No. 119)
Asymmetric unit:
Ca  0.000  0.000  0.000 x2
Ta  0.000  0.500  0.750 x2
Cl  0.000  0.000  0.500 x2
Cl  0.000  0.500  0.250 x2

Calculated values
- Crystal system: tetragonal
- DOS at the Fermi energy: 0.968 states/eV/atom



Run 2
DFT (PBEsol) results for crystalline CaTaCl2 at its relaxed geometry.

a = 3.155 Å, b = 3.155 Å, c = 10.075 Å
α = 90.00°, β = 90.00°, γ = 90.00°
Space group P4/mmm (No. 123)
Asymmetric unit:
Ca  0.000  0.000  0.000 x1
Ta  0.000  0.000  0.500 x1
Cl  0.500  0.500  0.159 x2

Calculated values
- Crystal system: tetragonal
- DOS at the Fermi energy: 0.529 states/eV/atom



Least stable structure: run 1



Run 1
DFT (PBEsol) results for crystalline CaTc2Cl at its relaxed geometry.

a = 3.682 Å, b = 3.682 Å, c = 5.422 Å
α = 90.00°, β = 90.00°, γ = 90.00°
Space group P4/mmm (No. 123)
Asymmetric unit:
Ca  0.000  0.000  0.000 x1
Tc  0.500  0.500  0.305 x2
Cl  0.000  0.000  0.500 x1

Calculated values
- Crystal system: tetragonal
- DOS at the Fermi energy: 0.883 states/eV/atom



Run 2
DFT (PBEsol) results for crystalline CaTc2Cl at its relaxed geometry.

a = 6.410 Å, b = 6.410 Å, c = 6.410 Å
α = 90.00°, β = 90.00°, γ = 90.00°
Space group F-43m (No. 216)
Asymmetric unit:
Ca  0.000  0.000  0.000 x4
Tc  0.000  0.000  0.500 x4
Tc  0.250  0.250  0.250 x4
Cl  0.250  0.250  0.750 x4

Calculated values
- Crystal system: cubic
- DOS at the Fermi energy: 1.132 states/eV/atom



Least stable structure: run 1



Run 1
DFT (PBEsol) results for crystalline CaTc2Cl at its relaxed geometry.

a = 3.554 Å, b = 5.501 Å, c = 7.969 Å
α = 90.00°, β = 90.00°, γ = 90.00°
Space group Imm2 (No. 44)
Asymmetric unit:
Ca  0.000  0.000  0.000 x2
Tc  0.000  0.000  0.488 x2
Tc  0.000  0.500  0.172 x2
Cl  0.000  0.500  0.763 x2

Calculated values
- Crystal system: orthorhombic
- DOS at the Fermi energy: 0.806 states/eV/atom



Run 2
DFT (PBEsol) results for crystalline CaTc2Cl at its relaxed geometry.

a = 5.020 Å, b = 12.421 Å, c = 3.343 Å
α = 90.00°, β = 131.58°, γ = 90.00°
Space group C2/m (No. 12)
Asymmetric unit:
Ca  0.000  0.000  0.000 x2
Tc  0.250  0.250  0.500 x4
Cl  0.000  0.500  0.000 x2

Calculated values
- Crystal system: monoclinic
- DOS at the Fermi energy: 0.901 states/eV/atom



Least stable structure: run 1